No. 1
Density functional theory data (GGA-PBE) for a relaxed structure of RbCoN.

Lattice parameters (Å, degrees): 3.499 6.514 10.811 90.00 90.00 90.00
Last column: magnetic moment on the atom in μB.
Fractional coordinates of all 12 atoms:
Rb 0.250 0.075 0.664  0.00
Rb 0.250 0.425 0.164  0.00
Rb 0.750 0.925 0.336  0.00
Rb 0.750 0.575 0.836  0.00
Co 0.250 0.596 0.543  0.32
Co 0.250 0.904 0.043  0.32
Co 0.750 0.404 0.457  0.32
Co 0.750 0.096 0.957  0.32
N 0.250 0.144 0.938  0.07
N 0.250 0.356 0.438  0.07
N 0.750 0.856 0.062  0.07
N 0.750 0.644 0.562  0.07

excess energy over the best structure of this formula in the dataset = 0.064 eV/atom
crystal system = orthorhombic
space group = Pnma
volume = 246 Å³/cell

---

No. 2
Density functional theory data (GGA-PBE) for a relaxed structure of BeGa2N.

Lattice parameters (Å, degrees): 5.266 5.266 5.676 62.36 62.36 90.00
Fractional coordinates of all 8 atoms:
Be 0.500 0.500 0.000
Be 0.250 0.750 0.500
Ga 0.679 0.125 0.250
Ga 0.071 0.625 0.250
Ga 0.375 0.321 0.750
Ga 0.875 0.929 0.750
N 0.000 0.000 0.000
N 0.750 0.250 0.500

excess energy over the best structure of this formula in the dataset = 0.000 eV/atom
crystal system = tetragonal
space group = I-42d
volume = 119 Å³/cell

---

No. 3
Density functional theory data (GGA-PBE) for a relaxed structure of Tb6Pm2Sm3Mg.

Lattice parameters (Å, degrees): 6.181 6.181 11.835 95.01 95.01 120.03
Fractional coordinates of all 12 atoms:
Tb 0.918 0.586 0.751
Tb 0.751 0.751 0.250
Tb 0.082 0.414 0.249
Tb 0.586 0.918 0.751
Tb 0.249 0.249 0.750
Tb 0.414 0.082 0.249
Pm 0.333 0.667 0.000
Pm 0.667 0.333 0.000
Sm 0.166 0.834 0.500
Sm 0.834 0.166 0.500
Sm 0.500 0.500 0.500
Mg 0.000 0.000 0.000

crystal system = monoclinic
space group = C2/m
volume = 385 Å³/cell
E_form = 0.0209 eV/atom

---

No. 4
Density functional theory data (GGA-PBE) for a relaxed structure of Co5I12Cl3.

Lattice parameters (Å, degrees): 14.844 14.844 14.844 109.47 109.47 109.47
Last column: magnetic moment on the atom in μB.
Fractional coordinates of all 80 atoms:
Cl 0.750 0.375 0.125  0.03
Cl 0.875 0.750 0.125  0.03
Cl 0.375 0.750 0.625  0.03
Cl 0.250 0.125 0.375  0.03
Cl 0.875 0.125 0.250  0.03
Cl 0.375 0.625 0.250  0.03
Cl 0.625 0.375 0.750  0.03
Cl 0.125 0.875 0.750  0.03
Cl 0.750 0.875 0.625  0.03
Cl 0.625 0.250 0.375  0.03
Cl 0.125 0.250 0.875  0.03
Cl 0.250 0.625 0.875  0.03
Co 0.125 0.375 0.250  2.00
Co 0.000 0.500 0.000  -1.78
Co 0.000 0.000 0.000  -1.78
Co 0.375 0.250 0.125  2.00
Co 0.500 0.000 0.500  -1.78
Co 0.500 0.500 0.000  -1.78
Co 0.125 0.750 0.375  2.00
Co 0.750 0.125 0.875  2.00
Co 0.750 0.625 0.375  2.00
Co 0.375 0.125 0.750  2.00
Co 0.625 0.875 0.250  2.00
Co 0.500 0.500 0.500  -1.78
Co 0.500 0.000 0.000  -1.78
Co 0.000 0.000 0.500  -1.78
Co 0.250 0.375 0.625  2.00
Co 0.250 0.875 0.125  2.00
Co 0.000 0.500 0.500  -1.78
Co 0.875 0.250 0.625  2.00
Co 0.625 0.750 0.875  2.00
Co 0.875 0.625 0.750  2.00
I 0.699 0.107 0.015  0.10
I 0.316 0.515 0.408  0.10
I 0.985 0.393 0.301  0.10
I 0.515 0.199 0.107  0.10
I 0.592 0.699 0.684  0.10
I 0.985 0.592 0.184  0.10
I 0.316 0.801 0.408  0.10
I 0.092 0.908 0.107  0.10
I 0.592 0.985 0.684  0.10
I 0.699 0.592 0.184  0.10
I 0.801 0.485 0.393  0.10
I 0.816 0.908 0.015  0.10
I 0.107 0.699 0.515  0.10
I 0.393 0.408 0.092  0.10
I 0.092 0.908 0.393  0.10
I 0.408 0.107 0.592  0.10
I 0.092 0.184 0.199  0.10
I 0.485 0.684 0.092  0.10
I 0.816 0.908 0.301  0.10
I 0.107 0.408 0.092  0.10
I 0.393 0.985 0.801  0.10
I 0.592 0.607 0.408  0.10
I 0.908 0.816 0.515  0.10
I 0.801 0.316 0.908  0.10
I 0.408 0.393 0.592  0.10
I 0.092 0.184 0.485  0.10
I 0.199 0.684 0.092  0.10
I 0.184 0.092 0.699  0.10
I 0.607 0.015 0.199  0.10
I 0.893 0.592 0.908  0.10
I 0.515 0.316 0.908  0.10
I 0.592 0.893 0.408  0.10
I 0.908 0.816 0.801  0.10
I 0.908 0.092 0.607  0.10
I 0.893 0.301 0.485  0.10
I 0.184 0.092 0.985  0.10
I 0.607 0.592 0.908  0.10
I 0.408 0.015 0.316  0.10
I 0.301 0.408 0.816  0.10
I 0.199 0.515 0.607  0.10
I 0.908 0.092 0.893  0.10
I 0.684 0.199 0.592  0.10
I 0.485 0.801 0.893  0.10
I 0.015 0.408 0.816  0.10
I 0.408 0.301 0.316  0.10
I 0.015 0.607 0.699  0.10
I 0.684 0.485 0.592  0.10
I 0.301 0.893 0.985  0.10

crystal system = cubic
space group = Ia-3d
volume = 2518 Å³/cell
total energy = -2.863 eV/atom

---

No. 5
Density functional theory data (GGA-PBE) for a relaxed structure of Er8Mg2Os.

Lattice parameters (Å, degrees): 5.380 7.001 9.104 110.40 107.19 90.00
Fractional coordinates of all 11 atoms:
Er 0.399 0.593 0.798
Er 0.646 0.931 0.292
Er 0.807 0.742 0.615
Er 0.985 0.216 0.970
Er 0.193 0.258 0.385
Er 0.354 0.069 0.708
Er 0.601 0.407 0.202
Er 0.015 0.784 0.030
Mg 0.817 0.306 0.634
Mg 0.183 0.694 0.366
Os 0.500 0.000 0.000

crystal system = monoclinic
space group = C2/m
volume = 305 Å³/cell
E_form = -0.0645 eV/atom

---

No. 6
Density functional theory data (GGA-PBE) for a relaxed structure of MnSi2SN.

Lattice parameters (Å, degrees): 2.916 2.916 30.574 90.00 90.00 120.00
Last column: magnetic moment on the atom in μB.
Fractional coordinates of all 15 atoms:
Si 0.000 0.000 0.918  0.00
Si 0.333 0.667 0.585  0.00
Si 0.667 0.333 0.251  0.00
Si 0.000 0.000 0.840  0.01
Si 0.333 0.667 0.507  0.01
Si 0.667 0.333 0.174  0.01
Mn 0.000 0.000 0.449  1.36
Mn 0.333 0.667 0.116  1.36
Mn 0.667 0.333 0.782  1.36
S 0.000 0.000 0.069  -0.06
S 0.333 0.667 0.736  -0.06
S 0.667 0.333 0.402  -0.06
N 0.000 0.000 0.602  0.01
N 0.333 0.667 0.269  0.01
N 0.667 0.333 0.936  0.01

excess energy over the best structure of this formula in the dataset = 0.025 eV/atom
crystal system = trigonal
space group = R3m
volume = 225 Å³/cell

---

No. 7
Density functional theory data (GGA-PBE) for a relaxed structure of SrTcSn2.

Lattice parameters (Å, degrees): 5.037 5.037 5.037 60.00 60.00 60.00
Fractional coordinates of all 4 atoms:
Sr 0.000 0.000 0.000
Sn 0.250 0.250 0.250
Sn 0.750 0.750 0.750
Tc 0.500 0.500 0.500

excess energy over the best structure of this formula in the dataset = 0.000 eV/atom
crystal system = cubic
space group = Fm-3m
volume = 90 Å³/cell
E_form = 0.1352 eV/atom

---

No. 8
Density functional theory data (GGA-PBE) for a relaxed structure of Ac2MgPd4.

Lattice parameters (Å, degrees): 4.825 4.825 8.455 104.70 104.70 99.58
Fractional coordinates of all 7 atoms:
Ac 0.643 0.643 0.287
Ac 0.357 0.357 0.713
Mg 0.000 0.000 0.000
Pd 0.840 0.840 0.674
Pd 0.160 0.160 0.326
Pd 0.000 0.500 0.000
Pd 0.500 0.000 0.000

crystal system = monoclinic
space group = C2/m
volume = 178 Å³/cell
E_form = -0.4904 eV/atom

---

Which value of volume does entry 4 give?
2518 Å³/cell

---

Among the records above, which one has the highest volume?
Co5I12Cl3

---

Number 6 is which compound?
MnSi2SN

---

volume of number 6 (MnSi2SN)?
225 Å³/cell